A plane-wave DFT calculation with PBE was carried out for a relaxed ZnSn2O crystal.

Computed properties:
size of the total moment = 0.00 μB per atom
symmetry = Fm-3m, No. 225
formation energy without anion corrections = 0.062 eV/atom

a = 4.707 Å, b = 4.707 Å, c = 4.707 Å
α = 60.00°, β = 60.00°, γ = 60.00°
Sites, in units of the cell vectors:
Zn1 0.000 0.000 0.000
Sn1 0.250 0.250 0.250
Sn2 0.750 0.750 0.750
O1 0.500 0.500 0.500